W3Au after structural relaxation, computed with PBE.

Summary:
Raw total energy: -0.375 Ha/atom
Total moment: 0.000 μB per atom
Symmetry: Pm-3n (223)
Offset from the most stable computed form: 0.096 eV/atom

Lattice parameters (Å, degrees): 5.078 5.078 5.078 90.00 90.00 90.00
Element x y z (fractional)
W  0.000  0.250  0.500
W  0.000  0.750  0.500
W  0.250  0.500  0.000
W  0.500  0.000  0.250
W  0.500  0.000  0.750
W  0.750  0.500  0.000
Au  0.000  0.000  0.000
Au  0.500  0.500  0.500

W3Au after structural relaxation, computed with PBE.

Summary:
Raw total energy: -0.373 Ha/atom
Total moment: 0.000 μB per atom
Symmetry: Pmmm (47)
Offset from the most stable computed form: 0.149 eV/atom

Lattice parameters (Å, degrees): 2.691 4.309 5.709 90.00 90.00 90.00
Element x y z (fractional)
Au  0.000  0.000  0.000
W  0.000  0.000  0.500
W  0.500  0.500  0.256
W  0.500  0.500  0.744

W3Au after structural relaxation, computed with PBE.

Summary:
Raw total energy: -0.373 Ha/atom
Total moment: 0.000 μB per atom
Symmetry: R-3m (166)
Offset from the most stable computed form: 0.136 eV/atom

Lattice parameters (Å, degrees): 5.387 5.387 5.387 117.26 117.26 117.26
Element x y z (fractional)
Au  0.000  0.000  0.000
W  0.000  0.500  0.500
W  0.500  0.000  0.500
W  0.500  0.500  0.000

W3Au after structural relaxation, computed with PBE.

Summary:
Raw total energy: -0.243 Ha/atom
Total moment: 0.481 μB per atom
Symmetry: Pm-3m (221)
Offset from the most stable computed form: 3.671 eV/atom

Lattice parameters (Å, degrees): 4.913 4.913 4.913 90.00 90.00 90.00
Site moments in Bohr magnetons follow the coordinates.
Element x y z (fractional)
Au  0.000  0.000  0.000  0.12
W  0.000  0.000  0.500  0.46
W  0.000  0.500  0.000  0.46
W  0.500  0.000  0.000  0.46

W3Au after structural relaxation, computed with PBE.

Summary:
Raw total energy: -0.372 Ha/atom
Total moment: 0.000 μB per atom
Symmetry: Pnma (62)
Offset from the most stable computed form: 0.162 eV/atom

Lattice parameters (Å, degrees): 5.011 9.268 5.661 90.00 90.00 90.00
Element x y z (fractional)
Au  0.080  0.750  0.619
Au  0.420  0.250  0.119
Au  0.580  0.750  0.881
Au  0.920  0.250  0.381
W  0.917  0.250  0.880
W  0.242  0.997  0.357
W  0.242  0.503  0.357
W  0.258  0.497  0.857
W  0.258  0.003  0.857
W  0.583  0.750  0.380
W  0.417  0.250  0.620
W  0.742  0.997  0.143
W  0.742  0.503  0.143
W  0.758  0.497  0.643
W  0.758  0.003  0.643
W  0.083  0.750  0.120

W3Au after structural relaxation, computed with PBE.

Summary:
Raw total energy: -0.377 Ha/atom
Total moment: 0.000 μB per atom
Symmetry: P6_3/mmc (194)
Offset from the most stable computed form: 0.033 eV/atom

Lattice parameters (Å, degrees): 5.781 5.781 4.576 90.00 90.00 120.00
Element x y z (fractional)
W  0.844  0.156  0.250
W  0.156  0.844  0.750
W  0.844  0.688  0.250
W  0.156  0.312  0.750
W  0.312  0.156  0.250
W  0.688  0.844  0.750
Au  0.333  0.667  0.250
Au  0.667  0.333  0.750

W3Au after structural relaxation, computed with PBE.

Summary:
Raw total energy: -0.373 Ha/atom
Total moment: 0.000 μB per atom
Symmetry: I4/mmm (139)
Offset from the most stable computed form: 0.131 eV/atom

Lattice parameters (Å, degrees): 4.890 4.890 4.890 130.85 130.85 72.05
Element x y z (fractional)
Au  0.000  0.000  0.000
W  0.250  0.750  0.500
W  0.500  0.500  0.000
W  0.750  0.250  0.500

W3Au after structural relaxation, computed with PBE.

Summary:
Raw total energy: -0.367 Ha/atom
Total moment: 0.000 μB per atom
Symmetry: Fm-3m (225)
Offset from the most stable computed form: 0.312 eV/atom

Lattice parameters (Å, degrees): 4.546 4.546 4.546 60.00 60.00 60.00
Element x y z (fractional)
Au  0.000  0.000  0.000
W  0.250  0.250  0.250
W  0.500  0.500  0.500
W  0.750  0.750  0.750

W3Au after structural relaxation, computed with PBE.

Summary:
Raw total energy: -0.378 Ha/atom
Total moment: 0.000 μB per atom
Symmetry: Cmmm (65)
Offset from the most stable computed form: 0.000 eV/atom

Lattice parameters (Å, degrees): 2.750 2.750 9.126 90.00 90.00 106.86
Element x y z (fractional)
Au  0.000  0.000  0.000
W  0.000  0.000  0.500
W  0.500  0.500  0.258
W  0.500  0.500  0.742

WAu5 after structural relaxation, computed with PBE.

Summary:
Raw total energy: -0.170 Ha/atom
Total moment: 0.000 μB per atom
Symmetry: Cm (8)
Offset from the most stable computed form: 0.000 eV/atom

Lattice parameters (Å, degrees): 5.768 5.768 6.963 74.76 74.76 28.45
Element x y z (fractional)
W  0.277  0.277  0.949
Au  0.990  0.990  0.996
Au  0.614  0.614  0.265
Au  0.331  0.331  0.332
Au  0.947  0.947  0.611
Au  0.674  0.674  0.680

W3Au after structural relaxation, computed with PBE.

Summary:
Raw total energy: -0.373 Ha/atom
Total moment: 0.000 μB per atom
Symmetry: Cmmm (65)
Offset from the most stable computed form: 0.130 eV/atom

Lattice parameters (Å, degrees): 4.915 4.915 2.882 90.00 90.00 109.57
Element x y z (fractional)
Au  0.000  0.000  0.000
W  0.000  0.500  0.500
W  0.500  0.000  0.500
W  0.500  0.500  0.000

W5Au4 after structural relaxation, computed with PBE.

Summary:
Raw total energy: -0.306 Ha/atom
Total moment: 0.000 μB per atom
Symmetry: I4/mmm (139)

Lattice parameters (Å, degrees): 6.430 6.430 6.430 95.56 95.56 143.74
Element x y z (fractional)
W  0.000  0.000  0.000
W  0.338  0.338  0.675
W  0.338  0.662  0.000
W  0.662  0.338  0.000
W  0.662  0.662  0.325
Au  0.000  0.328  0.328
Au  0.000  0.672  0.672
Au  0.328  0.000  0.328
Au  0.672  0.000  0.672

> What is the formula in the first record?

W3Au

> What is the raw total energy in the fifth record?

-0.372 Ha/atom

What did the fourth record say?
W3Au after structural relaxation, computed with PBE.

Summary:
Raw total energy: -0.243 Ha/atom
Total moment: 0.481 μB per atom
Symmetry: Pm-3m (221)
Offset from the most stable computed form: 3.671 eV/atom

Lattice parameters (Å, degrees): 4.913 4.913 4.913 90.00 90.00 90.00
Site moments in Bohr magnetons follow the coordinates.
Element x y z (fractional)
Au  0.000  0.000  0.000  0.12
W  0.000  0.000  0.500  0.46
W  0.000  0.500  0.000  0.46
W  0.500  0.000  0.000  0.46

> Among the records above, which one has the highest total moment?

number 4